(1)
VASP calculation (GGA-PBE) on a relaxed structure of In2SnPdRu.

a = 5.0544 Å, b = 5.0544 Å, c = 5.0665 Å
α = 90.00°, β = 90.00°, γ = 90.00°
Closest atoms and distances in Å follow each position.
Element x y z (fractional)
1 In 0.0000 0.5000 0.0000  2 Pd 2.53
2 In 0.5000 0.0000 0.0000  2 Pd 2.53
3 Sn 0.0000 0.0000 0.5000  2 Pd 2.53
4 Pd 0.0000 0.0000 0.0000  4 In 2.53, 2 Sn 2.53
5 Ru 0.5000 0.5000 0.5000  4 Sn 3.57, 8 In 3.58

N(E_F) = 4.49 states/eV/cell

---

(2)
VASP calculation (GGA-PBE) on a relaxed structure of LiTcNi.

a = 3.9856 Å, b = 3.9856 Å, c = 5.9778 Å
α = 90.00°, β = 90.00°, γ = 90.00°
Closest atoms and distances in Å follow each position.
Element x y z (fractional)
1 Li 0.2500 0.7500 0.0000  4 Ni 2.59, 4 Li 2.82
2 Li 0.7500 0.2500 0.0000  4 Ni 2.59, 4 Li 2.82
3 Tc 0.2500 0.7500 0.5000  4 Ni 2.40
4 Tc 0.7500 0.2500 0.5000  4 Ni 2.40
5 Ni 0.2500 0.2500 0.2772  4 Tc 2.40, 4 Li 2.59
6 Ni 0.7500 0.7500 0.7228  4 Tc 2.40, 4 Li 2.59

Energy above the most stable polymorph in this dataset = 480.0 meV/atom
N(E_F) = 7.55 states/eV/cell

---

(3)
VASP calculation (GGA-PBE) on a relaxed structure of ZrNiGeRu.

a = 6.2407 Å, b = 6.2407 Å, c = 6.2407 Å
α = 90.00°, β = 90.00°, γ = 90.00°
Closest atoms and distances in Å follow each position.
Element x y z (fractional)
1 Zr 0.0000 0.0000 0.0000  4 Ni 2.70, 4 Ru 2.70
2 Zr 0.0000 0.5000 0.5000  4 Ni 2.70, 4 Ru 2.70
3 Zr 0.5000 0.0000 0.5000  4 Ni 2.70, 4 Ru 2.70
4 Zr 0.5000 0.5000 0.0000  4 Ni 2.70, 4 Ru 2.70
5 Ni 0.2500 0.2500 0.2500  4 Ge 2.70, 4 Zr 2.70
6 Ni 0.2500 0.7500 0.7500  4 Ge 2.70, 4 Zr 2.70
7 Ni 0.7500 0.2500 0.7500  4 Ge 2.70, 4 Zr 2.70
8 Ni 0.7500 0.7500 0.2500  4 Ge 2.70, 4 Zr 2.70
9 Ge 0.0000 0.0000 0.5000  4 Ru 2.70, 4 Ni 2.70
10 Ge 0.0000 0.5000 0.0000  4 Ru 2.70, 4 Ni 2.70
11 Ge 0.5000 0.0000 0.0000  4 Ru 2.70, 4 Ni 2.70
12 Ge 0.5000 0.5000 0.5000  4 Ru 2.70, 4 Ni 2.70
13 Ru 0.2500 0.2500 0.7500  4 Zr 2.70, 4 Ge 2.70
14 Ru 0.2500 0.7500 0.2500  4 Ge 2.70, 4 Zr 2.70
15 Ru 0.7500 0.2500 0.2500  4 Ge 2.70, 4 Zr 2.70
16 Ru 0.7500 0.7500 0.7500  4 Ge 2.70, 4 Zr 2.70

N(E_F) = 11.88 states/eV/cell

---

It is found that the spin magnetization values, taken in the order of the records, are 2.1 0.0 0.0 μB per cell.
It is found that the calculated formation energy values, taken in the order of the records, are 721 543 -413 meV/atom.